PuZnCo: relaxed, PBE.

* space-group type: P-6m2
* crystal system: hexagonal
* energy of formation: 0.48 kcal/mol of atoms

Cell lengths 4.3300, 4.3300, 3.3311 Å; angles 90.00, 90.00, 120.00 degrees
Last column: nearest neighbours and their distance in Å.
Positions (direct):
Pu  0.0000  0.0000  0.0000  6 Zn 3.00, 6 Co 3.00, 2 Pu 3.33
Zn  0.6667  0.3333  0.5000  3 Co 2.50
Co  0.3333  0.6667  0.5000  3 Zn 2.50

***

LaPa2Ir: relaxed, PBE.

* space-group type: R-3m
* crystal system: trigonal
* energy of formation: 0.54 kcal/mol of atoms

Cell lengths 10.2499, 10.2499, 10.2499 Å; angles 20.10, 20.10, 20.10 degrees
Last column: nearest neighbours and their distance in Å.
Positions (direct):
La  0.0000  0.0000  0.0000  2 Pa 3.16
Pa  0.1049  0.1049  0.1049  3 Ir 2.78
Pa  0.8951  0.8951  0.8951  3 Ir 2.78
Ir  0.5000  0.5000  0.5000  6 Pa 2.78

***

MnMoSe2: relaxed, PBE.

* space-group type: P4mm
* raw formation energy: -0.23 eV per atom
* crystal system: tetragonal

Cell lengths 3.2913, 3.2913, 7.2043 Å; angles 90.00, 90.00, 90.00 degrees
Last column: nearest neighbours and their distance in Å.
Positions (direct):
Mn  0.0000  0.0000  0.0000  4 Se 2.53, 4 Mo 2.83
Mo  0.5000  0.5000  0.2223  5 Se 2.60-2.64, 4 Mn 2.83
Se  0.0000  0.0000  0.3950  4 Mo 2.64, 1 Mn 2.85
Se  0.5000  0.5000  0.8611  4 Mn 2.53, 1 Mo 2.60